No. 1
The following is a DFT calculation (PBE) of an optimized crystal structure of TbPuHgPt.

Its crystal system is cubic. The total energy is -27.6 eV per cell. The value obtained for the formation enthalpy at 0 K is -0.565 eV/atom.

The structure in POSCAR format:
```
TbPuHgPt
1.0
-4.044 2.205 2.253
-1.931 -1.987 4.314
0.581 2.481 4.449
Pt Pu Tb Hg
1 1 1 1
Direct
0.250 0.250 0.250
0.000 0.000 0.000
0.500 0.500 0.500
0.750 0.750 0.750
```



No. 2
The following is a DFT calculation (PBE) of an optimized crystal structure of PuThHgPt.

Its crystal system is cubic. The total energy is -29.9 eV per cell. The value obtained for the formation enthalpy at 0 K is -0.457 eV/atom.

The structure in POSCAR format:
```
PuThHgPt
1.0
-2.715 -1.857 4.032
2.159 -3.481 3.209
1.279 1.377 4.853
Hg Pt Th Pu
1 1 1 1
Direct
0.250 0.250 0.250
0.750 0.750 0.750
0.000 0.000 0.000
0.500 0.500 0.500
```



No. 3
The following is a DFT calculation (PBE) of an optimized crystal structure of TmPuHgPt.

Its crystal system is cubic. The total energy is -27.5 eV per cell. The value obtained for the formation enthalpy at 0 K is -0.577 eV/atom.

The structure in POSCAR format:
```
TmPuHgPt
1.0
5.087 0.000 0.000
2.543 4.405 0.000
2.543 1.468 4.153
Pu Hg Tm Pt
1 1 1 1
Direct
0.750 0.750 0.750
0.500 0.500 0.500
0.250 0.250 0.250
0.000 0.000 0.000
```



No. 4
The following is a DFT calculation (PBE) of an optimized crystal structure of PuUHgPt.

Its crystal system is cubic. The total energy is -33.1 eV per cell. The value obtained for the formation enthalpy at 0 K is -0.278 eV/atom.

The structure in POSCAR format:
```
PuUHgPt
1.0
4.916 0.000 0.000
2.458 4.258 0.000
2.458 1.419 4.014
Hg Pt U Pu
1 1 1 1
Direct
0.250 0.250 0.250
0.500 0.500 0.500
0.750 0.750 0.750
0.000 0.000 0.000
```



No. 5
The following is a DFT calculation (PBE) of an optimized crystal structure of YPuHgPt.

Its crystal system is cubic. The total energy is -29.4 eV per cell. The value obtained for the formation enthalpy at 0 K is -0.563 eV/atom.

The structure in POSCAR format:
```
YPuHgPt
1.0
5.124 0.000 0.000
2.562 4.438 0.000
2.562 1.479 4.184
Y Hg Pu Pt
1 1 1 1
Direct
0.500 0.500 0.500
0.750 0.750 0.750
0.000 0.000 0.000
0.250 0.250 0.250
```



No. 6
The following is a DFT calculation (PBE) of an optimized crystal structure of PuZnHgPt.

Its crystal system is cubic. The total energy is -23.0 eV per cell. The value obtained for the formation enthalpy at 0 K is -0.271 eV/atom.

The structure in POSCAR format:
```
PuZnHgPt
1.0
-2.325 -3.919 1.732
-1.219 -3.638 -3.007
2.316 -4.279 0.287
Pt Pu Zn Hg
1 1 1 1
Direct
0.500 0.500 0.500
0.250 0.250 0.250
0.000 0.000 0.000
0.750 0.750 0.750
```



Copy entry 6 word for word.
The following is a DFT calculation (PBE) of an optimized crystal structure of PuZnHgPt.

Its crystal system is cubic. The total energy is -23.0 eV per cell. The value obtained for the formation enthalpy at 0 K is -0.271 eV/atom.

The structure in POSCAR format:
```
PuZnHgPt
1.0
-2.325 -3.919 1.732
-1.219 -3.638 -3.007
2.316 -4.279 0.287
Pt Pu Zn Hg
1 1 1 1
Direct
0.500 0.500 0.500
0.250 0.250 0.250
0.000 0.000 0.000
0.750 0.750 0.750
```



- Look up the formation enthalpy at 0 K of the sixth one.
  -0.271 eV/atom



- Among the records above, which one has the lowest formation enthalpy at 0 K?
  TmPuHgPt